No. 1
TeIBr2: relaxed, PBE.

The calculation puts the offset from the most stable computed form at 0.015 eV per atom. Its density of states at the Fermi level is 4.419 states/eV per cell. As for the space group: Pna2_1 (33). The calculation puts the total DFT energy (no corrections) at -2.18 eV/atom. Its energy relative to the elements, uncorrected is -169 meV/atom. Its density is 3.743 g/cm3.

The structure in CIF format:
```
data_TeIBr2
_cell_length_a 7.6806
_cell_length_b 13.3932
_cell_length_c 7.1472
_cell_angle_alpha 90.00
_cell_angle_beta 90.00
_cell_angle_gamma 90.00
_space_group_name_H-M_alt 'P 1'
_space_group_IT_number 1
loop_
_space_group_symop_operation_xyz
'x,y,z'
loop_
_atom_site_label
_atom_site_type_symbol
_atom_site_fract_x
_atom_site_fract_y
_atom_site_fract_z
Te1 Te 0.1110 0.1442 0.0000
Te2 Te 0.3890 0.6442 0.5000
Te3 Te 0.6110 0.3558 0.0000
Te4 Te 0.8890 0.8558 0.5000
I1 I 0.2243 0.8042 0.2704
I2 I 0.2757 0.3042 0.7704
I3 I 0.7243 0.6958 0.2704
I4 I 0.7757 0.1958 0.7704
Br1 Br 0.0732 0.9367 0.7788
Br2 Br 0.1004 0.6144 0.6779
Br3 Br 0.3996 0.1144 0.1779
Br4 Br 0.4268 0.4367 0.2788
Br5 Br 0.5732 0.5633 0.7788
Br6 Br 0.6004 0.8856 0.6779
Br7 Br 0.8996 0.3856 0.1779
Br8 Br 0.9268 0.0633 0.2788
```



No. 2
TeIBr2: relaxed, PBE.

The calculation puts the offset from the most stable computed form at 0.430 eV per atom. Its density of states at the Fermi level is 12.896 states/eV per cell. As for the space group: R-3m (166). The calculation puts the total DFT energy (no corrections) at -1.76 eV/atom. Its energy relative to the elements, uncorrected is 246 meV/atom. Its density is 5.222 g/cm3.

The structure in CIF format:
```
data_TeIBr2
_cell_length_a 3.8385
_cell_length_b 3.8385
_cell_length_c 30.9772
_cell_angle_alpha 90.00
_cell_angle_beta 90.00
_cell_angle_gamma 120.00
_space_group_name_H-M_alt 'P 1'
_space_group_IT_number 1
loop_
_space_group_symop_operation_xyz
'x,y,z'
loop_
_atom_site_label
_atom_site_type_symbol
_atom_site_fract_x
_atom_site_fract_y
_atom_site_fract_z
Te1 Te 0.0000 0.0000 0.0000
Te2 Te 0.3333 0.6667 0.6667
Te3 Te 0.6667 0.3333 0.3333
I1 I 0.0000 0.0000 0.5000
I2 I 0.3333 0.6667 0.1667
I3 I 0.6667 0.3333 0.8333
Br1 Br 0.0000 0.0000 0.4094
Br2 Br 0.0000 0.0000 0.5906
Br3 Br 0.3333 0.6667 0.0761
Br4 Br 0.3333 0.6667 0.2572
Br5 Br 0.6667 0.3333 0.7428
Br6 Br 0.6667 0.3333 0.9239
```